Compound: MnOsI2
Source: Alexandria via LeMat-Bulk
Functional: PBE
Structure: relaxed

- energy relative to the lowest polymorph listed for this composition (meV/atom) = 0
- formation energy from raw total energies (eV/atom) = 1.227

Unit cell a=4.8718 b=4.8718 c=4.8718 alpha=60.00 beta=60.00 gamma=60.00
Last column: nearest neighbours and their distance in Å.
Positions (direct):
Mn  0.0000  0.0000  0.0000  8 I 2.98
Os  0.5000  0.5000  0.5000  8 I 2.98
I  0.2500  0.2500  0.2500  4 Mn 2.98, 4 Os 2.98
I  0.7500  0.7500  0.7500  4 Os 2.98, 4 Mn 2.98

***

Compound: MnOsI2
Source: Alexandria via LeMat-Bulk
Functional: PBE
Structure: relaxed

- energy relative to the lowest polymorph listed for this composition (meV/atom) = 84
- formation energy from raw total energies (eV/atom) = 1.311

Unit cell a=7.1160 b=7.1160 c=7.1160 alpha=131.38 beta=131.38 gamma=71.21
Last column: nearest neighbours and their distance in Å.
Positions (direct):
Mn  0.0000  0.0000  0.0000  4 I 2.48
Mn  0.7500  0.2500  0.5000  4 I 2.48
Os  0.2500  0.7500  0.5000  4 I 2.58
Os  0.5000  0.5000  0.0000  4 I 2.58
I  0.1105  0.6250  0.9855  2 Mn 2.48, 2 Os 2.58
I  0.3750  0.3605  0.4855  2 Mn 2.48, 2 Os 2.58
I  0.6395  0.1250  0.0145  2 Mn 2.48, 2 Os 2.58
I  0.8750  0.8895  0.5145  2 Mn 2.48, 2 Os 2.58

***

Compound: Mn2OsI
Source: Alexandria via LeMat-Bulk
Functional: PBE
Structure: relaxed

- energy relative to the lowest polymorph listed for this composition (meV/atom) = 0
- formation energy from raw total energies (eV/atom) = 1.064

Unit cell a=6.3113 b=6.3113 c=6.3113 alpha=119.12 beta=119.12 gamma=91.52
Last column: nearest neighbours and their distance in Å.
Positions (direct):
Mn  0.0796  0.6250  0.9546  2 Os 2.34
Mn  0.3750  0.3296  0.4546  2 Os 2.34
Mn  0.6704  0.1250  0.0454  2 Os 2.34
Mn  0.8750  0.9204  0.5454  2 Os 2.34
Os  0.0000  0.0000  0.0000  4 Mn 2.34
Os  0.7500  0.2500  0.5000  4 Mn 2.34
I  0.2500  0.7500  0.5000  4 Mn 2.71
I  0.5000  0.5000  0.0000  4 Mn 2.71

***

Compound: MnOs2I
Source: Alexandria via LeMat-Bulk
Functional: PBE
Structure: relaxed

- energy relative to the lowest polymorph listed for this composition (meV/atom) = 0
- formation energy from raw total energies (eV/atom) = 1.176

Unit cell a=4.5104 b=4.5104 c=4.5104 alpha=60.00 beta=60.00 gamma=60.00
Last column: nearest neighbours and their distance in Å.
Positions (direct):
Mn  0.0000  0.0000  0.0000  8 Os 2.76
Os  0.2500  0.2500  0.2500  4 I 2.76, 4 Mn 2.76
Os  0.7500  0.7500  0.7500  4 I 2.76, 4 Mn 2.76
I  0.5000  0.5000  0.5000  8 Os 2.76

***

Compound: MnOs3I
Source: Alexandria via LeMat-Bulk
Functional: PBE
Structure: relaxed

- energy relative to the lowest polymorph listed for this composition (meV/atom) = 0
- formation energy from raw total energies (eV/atom) = 2.000

Unit cell a=4.5183 b=4.5183 c=4.5183 alpha=90.00 beta=90.00 gamma=90.00
Last column: nearest neighbours and their distance in Å.
Positions (direct):
Mn  0.0000  0.0000  0.0000  6 Os 2.26
Os  0.0000  0.0000  0.5000  2 Mn 2.26
Os  0.0000  0.5000  0.0000  2 Mn 2.26
Os  0.5000  0.0000  0.0000  2 Mn 2.26
I  0.5000  0.5000  0.5000  12 Os 3.19

***

Compound: Mn2OsI
Source: Alexandria via LeMat-Bulk
Functional: PBE
Structure: relaxed

- energy relative to the lowest polymorph listed for this composition (meV/atom) = 35
- formation energy from raw total energies (eV/atom) = 1.099

Unit cell a=4.4823 b=4.4823 c=4.4823 alpha=60.00 beta=60.00 gamma=60.00
Last column: nearest neighbours and their distance in Å.
Positions (direct):
Mn  0.2500  0.2500  0.2500  4 Os 2.74, 4 I 2.74
Mn  0.7500  0.7500  0.7500  4 Os 2.74, 4 I 2.74
Os  0.0000  0.0000  0.0000  8 Mn 2.74
I  0.5000  0.5000  0.5000  8 Mn 2.74

***

Compound: Mn2OsSI
Source: Alexandria via LeMat-Bulk
Functional: PBE
Structure: relaxed

- formation energy from raw total energies (eV/atom) = 1.206

Unit cell a=5.0652 b=5.0652 c=4.8780 alpha=90.00 beta=90.00 gamma=90.00
Last column: nearest neighbours and their distance in Å.
Positions (direct):
Mn  0.0000  0.5000  0.0000  2 Os 2.53
Mn  0.5000  0.0000  0.0000  2 Os 2.53
Os  0.0000  0.0000  0.0000  2 I 2.44, 4 Mn 2.53
S  0.5000  0.5000  0.5000  8 Mn 3.52, 4 I 3.58
I  0.0000  0.0000  0.5000  2 Os 2.44

***

Compound: MnSbOsI2
Source: Alexandria via LeMat-Bulk
Functional: PBE
Structure: relaxed

- energy relative to the lowest polymorph listed for this composition (meV/atom) = 563
- formation energy from raw total energies (eV/atom) = 1.527

Unit cell a=5.1279 b=5.1279 c=5.0229 alpha=90.00 beta=90.00 gamma=90.00
Last column: nearest neighbours and their distance in Å.
Positions (direct):
Mn  0.0000  0.0000  0.0000  2 Sb 2.51, 4 I 2.56
Sb  0.0000  0.0000  0.5000  2 Mn 2.51
Os  0.5000  0.5000  0.5000  8 I 3.59, 4 Sb 3.63
I  0.0000  0.5000  0.0000  2 Mn 2.56
I  0.5000  0.0000  0.0000  2 Mn 2.56

***

Compound: MnSbOsI2
Source: Alexandria via LeMat-Bulk
Functional: PBE
Structure: relaxed

- energy relative to the lowest polymorph listed for this composition (meV/atom) = 0
- formation energy from raw total energies (eV/atom) = 0.964

Unit cell a=5.5971 b=5.5971 c=5.0123 alpha=90.00 beta=90.00 gamma=90.00
Last column: nearest neighbours and their distance in Å.
Positions (direct):
Mn  0.0000  0.0000  0.0000  8 I 3.76, 4 Sb 3.96
Sb  0.5000  0.5000  0.0000  2 Os 2.51
Os  0.5000  0.5000  0.5000  2 Sb 2.51, 4 I 2.80
I  0.0000  0.5000  0.5000  2 Os 2.80
I  0.5000  0.0000  0.5000  2 Os 2.80

***

Compound: TiMnOs2I
Source: Alexandria via LeMat-Bulk
Functional: PBE
Structure: relaxed

- formation energy from raw total energies (eV/atom) = 1.678

Unit cell a=4.6641 b=4.6641 c=4.7605 alpha=90.00 beta=90.00 gamma=90.00
Last column: nearest neighbours and their distance in Å.
Positions (direct):
Ti  0.0000  0.0000  0.0000  4 Os 2.33, 2 Mn 2.38
Mn  0.0000  0.0000  0.5000  2 Ti 2.38
Os  0.0000  0.5000  0.0000  2 Ti 2.33
Os  0.5000  0.0000  0.0000  2 Ti 2.33
I  0.5000  0.5000  0.5000  4 Mn 3.30, 8 Os 3.33

***

Compound: MnOsW2I
Source: Alexandria via LeMat-Bulk
Functional: PBE
Structure: relaxed

- formation energy from raw total energies (eV/atom) = 1.748

Unit cell a=4.8488 b=4.8488 c=4.9396 alpha=90.00 beta=90.00 gamma=90.00
Last column: nearest neighbours and their distance in Å.
Positions (direct):
Mn  0.0000  0.0000  0.0000  2 Os 2.47
Os  0.0000  0.0000  0.5000  4 W 2.42, 2 Mn 2.47
W  0.0000  0.5000  0.5000  2 Os 2.42
W  0.5000  0.0000  0.5000  2 Os 2.42
I  0.5000  0.5000  0.0000  4 Mn 3.43, 8 W 3.46

***

Compound: Y2MnOsI
Source: Alexandria via LeMat-Bulk
Functional: PBE
Structure: relaxed

- formation energy from raw total energies (eV/atom) = 0.941

Unit cell a=5.1732 b=5.1732 c=4.6047 alpha=90.00 beta=90.00 gamma=90.00
Last column: nearest neighbours and their distance in Å.
Positions (direct):
Y  0.0000  0.5000  0.0000  2 Mn 2.59
Y  0.5000  0.0000  0.0000  2 Mn 2.59
Mn  0.0000  0.0000  0.0000  2 I 2.30
Os  0.5000  0.5000  0.5000  8 Y 3.46, 4 I 3.66
I  0.0000  0.0000  0.5000  2 Mn 2.30

***

Q: Among the records above, which one has the highest formation energy from raw total energies?
A: MnOs3I